Arrangement w

First-principles (PBE) data for NaY2Tl after structural relaxation, as listed in Alexandria via LeMat-Bulk.

Lattice parameters (Å, degrees): 4.6496 4.6496 23.2804 90.00 90.00 90.00
Space group I-42d (No. 122)
Symmetry-distinct sites (fractional):
Na (0.0000, 0.0000, 0.0000) [4 per cell]
Y (0.2339, 0.2500, 0.6250) [8 per cell]
Tl (0.0000, 0.0000, 0.5000) [4 per cell]

DOS(E_F) in states/eV/f.u.: 3.79



Arrangement x

First-principles (PBE) data for NaY2Tl after structural relaxation, as listed in Alexandria via LeMat-Bulk.

Lattice parameters (Å, degrees): 7.6493 7.6493 7.6493 90.00 90.00 90.00
Space group Fm-3m (No. 225)
Symmetry-distinct sites (fractional):
Na (0.0000, 0.0000, 0.0000) [4 per cell]
Y (0.2500, 0.2500, 0.2500) [8 per cell]
Tl (0.0000, 0.0000, 0.5000) [4 per cell]

DOS(E_F) in states/eV/f.u.: 2.84



Arrangement y

First-principles (PBE) data for NaY2Tl after structural relaxation, as listed in Alexandria via LeMat-Bulk.

Lattice parameters (Å, degrees): 5.1222 5.1222 4.3016 90.00 90.00 90.00
Space group P4/mmm (No. 123)
Symmetry-distinct sites (fractional):
Na (0.0000, 0.0000, 0.0000) [1 per cell]
Y (0.0000, 0.5000, 0.5000) [2 per cell]
Tl (0.5000, 0.5000, 0.0000) [1 per cell]

DOS(E_F) in states/eV/f.u.: 2.46



Which of them is least stable? Easy: arrangement w.



Arrangement w

First-principles (PBE) data for NaYTl3 after structural relaxation, as listed in Alexandria via LeMat-Bulk.

Lattice parameters (Å, degrees): 5.9483 5.9483 5.9483 90.00 90.00 90.00
Space group Pm-3m (No. 221)
Symmetry-distinct sites (fractional):
Na (0.0000, 0.0000, 0.0000) [1 per cell]
Y (0.5000, 0.5000, 0.5000) [1 per cell]
Tl (0.0000, 0.5000, 0.5000) [3 per cell]

DOS(E_F) in states/eV/f.u.: 5.47



Arrangement x

First-principles (PBE) data for NaYTl3 after structural relaxation, as listed in Alexandria via LeMat-Bulk.

Lattice parameters (Å, degrees): 15.8400 5.4135 6.6309 90.00 101.12 90.00
Space group C2/m (No. 12)
Symmetry-distinct sites (fractional):
Na (0.1987, 0.0000, 0.1325) [4 per cell]
Y (0.1091, 0.5000, 0.4421) [4 per cell]
Tl (0.0038, 0.0000, 0.2594) [4 per cell]
Tl (0.0961, 0.5000, 0.9281) [4 per cell]
Tl (0.1990, 0.0000, 0.6419) [4 per cell]

DOS(E_F) in states/eV/f.u.: 2.74



Which of them is least stable? Easy: arrangement w.